A relaxed structure of AcEuSnPd, computed with GGA-PBE.

Cell lengths 5.5071, 5.5071, 5.5071 Å; angles 60.00, 60.00, 60.00 degrees
With the nearest neighbours (Å) after each atom.
Atoms (fractional coordinates):
Ac (0.0000, 0.0000, 0.0000)  4 Sn 3.37, 4 Pd 3.37
Eu (0.5000, 0.5000, 0.5000)  4 Sn 3.37, 4 Pd 3.37
Sn (0.7500, 0.7500, 0.7500)  4 Eu 3.37, 4 Ac 3.37
Pd (0.2500, 0.2500, 0.2500)  4 Ac 3.37, 4 Eu 3.37

Calculated values
The value obtained for the uncorrected energy is -26.083 eV/cell. The formation energy is -0.626 eV per atom. The value obtained for the density of states at the Fermi level is 13.30 states/eV/f.u.